RbMn2F | PBE with a Hubbard U | optimized geometry Values from VASP.

```
&SYSTEM
  ibrav = 0, nat = 16, ntyp = 3
/
ATOMIC_SPECIES
Rb 85.47 Rb.upf
Mn 54.94 Mn.upf
F 19.00 F.upf
CELL_PARAMETERS angstrom
7.9732 0.0000 0.0000
0.0000 7.9732 0.0000
0.0000 0.0000 7.9732
ATOMIC_POSITIONS crystal
Rb 0.0000 0.0000 0.0000
Rb 0.0000 0.5000 0.5000
Rb 0.5000 0.0000 0.5000
Rb 0.5000 0.5000 0.0000
Mn 0.2500 0.2500 0.2500
Mn 0.2500 0.2500 0.7500
Mn 0.2500 0.7500 0.2500
Mn 0.2500 0.7500 0.7500
Mn 0.7500 0.2500 0.2500
Mn 0.7500 0.2500 0.7500
Mn 0.7500 0.7500 0.2500
Mn 0.7500 0.7500 0.7500
F 0.0000 0.0000 0.5000
F 0.0000 0.5000 0.0000
F 0.5000 0.0000 0.0000
F 0.5000 0.5000 0.5000
```

Distance to the lowest polymorph of the same formula in meV/atom: 498
Theoretical density in g/cm³: 2.809
V in Å³/cell: 506.88
Raw total energy in eV/atom: -4.102
Magnetization in μB/f.u.: 10.1